4
Lattice="-1.414 1.137 -2.593 -3.158 0.126 -0.154 -1.358 9.108 2.804" Properties=species:S:1:pos:R:3 comment="ZrSc2Re | Alexandria via LeMat-Bulk | SCAN | PBEsol geometry" de_polymorph_ev_per_fu=0.907 final_energy_ev_per_fu=-129.92 m_tot_mub_per_fu=0.6 spacegroup=R3m pbc="T T T"
Zr -2.959 5.485 0.157
Sc -1.365 8.750 2.651
Sc -1.481 2.678 0.051
Re -4.448 7.752 0.032

=====

4
Lattice="-0.578 -2.764 -0.295 4.455 -1.016 0.787 -1.091 -0.379 5.684" Properties=species:S:1:pos:R:3 comment="ZrSc2Re | Alexandria via LeMat-Bulk | SCAN | PBEsol geometry" de_polymorph_ev_per_fu=1.126 final_energy_ev_per_fu=-129.70 m_tot_mub_per_fu=0.0 spacegroup=Pmm2 pbc="T T T"
Re 1.121 -2.174 4.505
Sc 1.667 -1.984 1.659
Sc -1.073 -0.373 5.589
Zr -0.566 -0.196 2.947

=====

3
Lattice="-3.196 -0.103 -0.809 -0.385 -2.694 1.863 0.615 4.503 3.721" Properties=species:S:1:pos:R:3 comment="ZrScRe | Alexandria via LeMat-Bulk | SCAN | PBEsol geometry" final_energy_ev_per_fu=-116.63 m_tot_mub_per_fu=0.2 spacegroup=I4mm pbc="T T T"
Sc -2.125 -0.513 1.738
Zr -0.851 2.249 3.077
Re -2.954 1.678 4.736

=====

5
Lattice="4.530 0.000 0.000 0.000 4.530 0.000 0.000 0.000 4.530" Properties=species:S:1:pos:R:3 comment="ZrScRe3 | Alexandria via LeMat-Bulk | SCAN | PBEsol geometry" final_energy_ev_per_fu=-248.84 m_tot_mub_per_fu=0.0 spacegroup=Pm-3m pbc="T T T"
Zr 2.265 2.265 2.265
Re 0.000 2.265 0.000
Re 2.265 0.000 0.000
Re 0.000 0.000 2.265
Sc 0.000 0.000 0.000

=====

4
Lattice="3.355 0.000 0.000 0.000 4.670 0.000 -1.677 -2.335 5.010" Properties=species:S:1:pos:R:3 comment="ZrSc2Re | Alexandria via LeMat-Bulk | SCAN | PBEsol geometry" de_polymorph_ev_per_fu=0.000 final_energy_ev_per_fu=-130.83 m_tot_mub_per_fu=0.0 spacegroup=Immm pbc="T T T"
Zr 1.677 0.000 0.000
Sc 0.000 0.000 2.871
Sc 1.677 2.335 2.139
Re 0.000 2.335 0.000

=====

4
Lattice="3.187 0.000 0.000 0.000 3.187 0.000 0.000 0.000 7.783" Properties=species:S:1:pos:R:3 comment="ZrSc2Re | Alexandria via LeMat-Bulk | SCAN | PBEsol geometry" de_polymorph_ev_per_fu=0.691 final_energy_ev_per_fu=-130.14 m_tot_mub_per_fu=0.0 spacegroup=P4/mmm pbc="T T T"
Zr 1.593 1.593 0.000
Sc 0.000 0.000 2.316
Sc 0.000 0.000 5.467
Re 1.593 1.593 3.891

=====

4
Lattice="3.306 0.000 0.000 0.000 3.306 0.000 0.000 0.000 7.406" Properties=species:S:1:pos:R:3 comment="ZrSc2Re | Alexandria via LeMat-Bulk | SCAN | PBEsol geometry" de_polymorph_ev_per_fu=0.069 final_energy_ev_per_fu=-130.76 m_tot_mub_per_fu=1.2 spacegroup=P4mm pbc="T T T"
Zr 0.000 0.000 4.006
Re 1.653 1.653 5.480
Sc 1.653 1.653 1.985
Sc 0.000 0.000 7.043

=====

4
Lattice="-1.955 0.801 -1.966 0.764 -5.275 -1.624 -2.972 0.931 4.620" Properties=species:S:1:pos:R:3 comment="ZrSc2Re | Alexandria via LeMat-Bulk | SCAN | PBEsol geometry" de_polymorph_ev_per_fu=0.970 final_energy_ev_per_fu=-129.86 m_tot_mub_per_fu=0.0 spacegroup=C2/m pbc="T T T"
Zr -0.977 0.401 -0.983
Sc -1.486 0.465 2.310
Sc 0.382 -2.637 -0.812
Re -2.081 -1.771 0.515

=====

2
Lattice="2.963 0.000 0.000 -1.482 2.639 0.000 0.000 0.000 4.106" Properties=species:S:1:pos:R:3 comment="ReSe | Alexandria via LeMat-Bulk | SCAN | PBEsol geometry" de_polymorph_ev_per_fu=1.684 final_energy_ev_per_fu=-88.71 m_tot_mub_per_fu=0.0 e_form_raw_ev_per_atom=1.2342 spacegroup=Cmmm pbc="T T T"
Re 0.000 0.000 0.000
Se 1.482 0.000 2.053

=====

6
Lattice="3.160 0.000 0.000 0.000 4.931 0.000 -1.580 0.000 7.465" Properties=species:S:1:pos:R:3 comment="ReSe2 | Alexandria via LeMat-Bulk | SCAN | PBEsol geometry" final_energy_ev_per_fu=-110.97 m_tot_mub_per_fu=0.0 e_form_raw_ev_per_atom=0.0952 spacegroup=Cmcm pbc="T T T"
Se 1.580 1.233 6.866
Se 0.000 3.698 0.599
Se 1.580 1.233 2.970
Se 0.000 3.698 4.495
Re 0.000 1.233 5.036
Re 1.580 3.698 2.429

=====

4
Lattice="-1.709 -4.067 0.784 2.393 -3.661 -0.972 1.663 -2.531 3.302" Properties=species:S:1:pos:R:3 comment="ReSe | Alexandria via LeMat-Bulk | SCAN | PBEsol geometry" de_polymorph_ev_per_fu=1.662 final_energy_ev_per_fu=-88.73 m_tot_mub_per_fu=0.0 e_form_raw_ev_per_atom=1.2232 spacegroup=Fd-3m pbc="T T T"
Re 1.174 -5.130 1.557
Re 1.760 -7.695 2.335
Se 0.000 0.000 0.000
Se 0.587 -2.565 0.778

=====

4
Lattice="-0.410 1.356 2.571 2.582 -2.400 1.678 5.065 3.537 -2.734" Properties=species:S:1:pos:R:3 comment="ReSe | Alexandria via LeMat-Bulk | SCAN | PBEsol geometry" de_polymorph_ev_per_fu=0.000 final_energy_ev_per_fu=-90.39 m_tot_mub_per_fu=0.0 e_form_raw_ev_per_atom=0.3920 spacegroup=Cmcm pbc="T T T"
Re 2.651 1.139 -0.178
Re 4.587 1.354 1.692
Se 4.422 2.675 -0.707
Se 2.815 -0.183 2.221